Record 1
Below is a relaxed structure of RbNa2TlF4, with properties calculated at the PBE level.

Summary:
* uncorrected formation energy: -2.37 eV/atom
* magnetic moment: 0.0 μB/cell

Cell and atoms, written as POSCAR:
```
RbNa2TlF4
1.0
1.7320 -8.2586 0.0000
1.7320 8.2586 0.0000
0.0000 0.0000 10.2963
Rb Na Tl F
2 4 2 8
Cartesian
1.7320 4.1473 7.7222
1.7320 -4.1473 2.5741
1.7320 1.7505 0.2295
1.7320 1.7505 4.9186
1.7320 -1.7505 5.3777
1.7320 -1.7505 10.0667
1.7320 7.7936 2.5741
1.7320 -7.7936 7.7222
0.0000 0.0000 0.0000
0.0000 0.0000 5.1481
1.7320 5.4889 0.8334
1.7320 5.4889 4.3148
1.7320 1.7264 2.5741
1.7320 -1.7264 7.7222
1.7320 -5.4889 5.9815
1.7320 -5.4889 9.4629
```

=====

Record 2
Below is a relaxed structure of Rb3NaTl2F9, with properties calculated at the PBE level.

Summary:
* uncorrected formation energy: -2.35 eV/atom
* magnetic moment: 0.0 μB/cell

Cell and atoms, written as POSCAR:
```
Rb3NaTl2F9
1.0
6.4421 0.0000 0.0000
-3.2211 5.5790 0.0000
0.0000 0.0000 7.9621
Rb Na Tl F
3 1 2 9
Cartesian
0.0000 0.0000 0.0000
0.0000 3.7194 5.1575
3.2211 1.8597 2.8046
0.0000 0.0000 3.9811
0.0000 3.7194 1.3787
3.2211 1.8597 6.5834
-1.6105 2.7895 0.0000
0.0000 1.8747 2.6420
-1.5975 4.6417 2.6420
1.6235 0.9373 5.3201
3.2211 0.0000 0.0000
1.6105 2.7895 0.0000
1.5975 4.6417 2.6420
4.8186 0.9373 5.3201
3.2211 3.7043 5.3201
```

=====

Record 3
Below is a relaxed structure of RbNaTl2F8, with properties calculated at the PBE level.

Summary:
* uncorrected formation energy: -2.14 eV/atom
* magnetic moment: 0.0 μB/cell

Cell and atoms, written as POSCAR:
```
RbNaTl2F8
1.0
4.5306 0.0000 0.0000
0.0000 7.4659 0.0000
-0.6120 0.0000 5.9812
Rb Na Tl F
1 1 2 8
Cartesian
0.0000 0.0000 0.0000
0.0000 3.7329 0.0000
1.9593 1.9296 2.9906
1.9593 5.5363 2.9906
0.3182 2.0641 1.6799
0.3182 5.4018 1.6799
1.3363 3.7329 4.2843
1.4839 0.0000 4.2071
2.4347 0.0000 1.7741
2.5824 3.7329 1.6969
3.6005 2.0641 4.3014
3.6005 5.4018 4.3014
```

=====

Record 4
Below is a relaxed structure of Rb2NaTlF6, with properties calculated at the PBE level.

Summary:
* uncorrected formation energy: -2.47 eV/atom
* magnetic moment: 0.0 μB/cell

Cell and atoms, written as POSCAR:
```
Rb2NaTlF6
1.0
6.3603 0.0000 0.0000
0.0000 6.3258 0.0000
-6.3558 0.0000 8.9810
Rb Na Tl F
4 2 2 12
Cartesian
-0.0056 0.0730 2.2417
-3.1835 3.0899 6.7322
3.1881 3.2359 2.2488
0.0102 6.2528 6.7393
-3.1779 0.0000 4.4905
0.0000 3.1629 0.0000
3.1802 0.0000 0.0000
0.0023 3.1629 4.4905
-4.8623 1.3995 8.8026
-1.6844 1.7634 4.3121
-4.5769 4.6406 8.8055
-1.3990 4.8481 4.3150
-2.9311 0.0247 6.7956
0.2468 3.1382 2.3051
-0.2423 3.1875 6.6759
2.9356 6.3011 2.1854
1.4036 1.4777 4.6660
4.5815 1.6852 0.1755
1.6889 4.5624 4.6689
4.8668 4.9263 0.1784
```

=====

Record 5
Below is a relaxed structure of Rb2NaTlF4, with properties calculated at the PBE level.

Summary:
* uncorrected formation energy: -2.38 eV/atom
* magnetic moment: 0.2 μB/cell

Cell and atoms, written as POSCAR:
```
Rb2NaTlF4
1.0
1.9587 -6.6047 0.0000
1.9587 6.6047 0.0000
0.0000 0.0000 13.6923
Rb Na Tl F
4 2 2 8
Cartesian
1.9587 4.8792 7.4209
1.9587 4.8792 13.1176
1.9587 -4.8792 0.5747
1.9587 -4.8792 6.2715
1.9587 1.8904 3.4231
1.9587 -1.8904 10.2692
1.9587 1.7110 10.2692
1.9587 -1.7110 3.4231
1.9587 5.7380 10.2692
1.9587 3.5041 1.8791
1.9587 3.5041 4.9670
1.9587 0.0000 0.0000
1.9587 0.0000 6.8462
1.9587 -3.5041 8.7253
1.9587 -3.5041 11.8132
1.9587 -5.7380 3.4231
```

=====

Record 6
Below is a relaxed structure of RbNa2TlF6, with properties calculated at the PBE level.

Summary:
* uncorrected formation energy: -2.42 eV/atom
* magnetic moment: 0.2 μB/cell

Cell and atoms, written as POSCAR:
```
RbNa2TlF6
1.0
3.0298 1.7493 5.4567
-3.0298 1.7493 5.4567
0.0000 -3.4986 5.4567
Rb Na Tl F
1 2 1 6
Cartesian
0.0000 0.0000 0.0000
0.0000 0.0000 4.4495
0.0000 0.0000 12.8327
0.0000 0.0000 7.7561
-1.5935 -0.4110 6.2647
-0.9877 -1.6841 8.7802
1.1527 -1.1745 6.2646
-0.9646 1.6975 8.7802
0.4408 1.5855 6.2646
1.9523 -0.0134 8.7802
```